(1)
Density functional theory data (PBE-GGA) for a geometry-optimized GeBiAs2Se structure.

Lattice parameters (Å, degrees): 5.001 5.001 4.961 90.00 90.00 90.00
Sites, in units of the cell vectors:
Ge (0.000, 0.000, 0.000)
Bi (0.500, 0.500, 0.500)
As (0.000, 0.500, 0.000)
As (0.500, 0.000, 0.000)
Se (0.000, 0.000, 0.500)

## Properties
space-group type	P4/mmm (123)
calculated total energy	-18.91	eV per cell
magnetic moment	0.00	Bohr magnetons per cell

***

(2)
Density functional theory data (PBE-GGA) for a geometry-optimized YRh2Pb structure.

Lattice parameters (Å, degrees): 6.102 6.102 6.102 105.61 105.61 117.52
Sites, in units of the cell vectors:
Y (0.000, 0.000, 0.000)
Y (0.750, 0.250, 0.500)
Rh (0.129, 0.125, 0.504)
Rh (0.375, 0.871, 0.996)
Rh (0.621, 0.625, 0.496)
Rh (0.875, 0.379, 0.004)
Pb (0.250, 0.750, 0.500)
Pb (0.500, 0.500, 0.000)

## Properties
space-group type	I-42d (122)
calculated total energy	-50.49	eV per cell
magnetic moment	0.00	Bohr magnetons per cell
E_form	-8.97	kJ per mole of atoms

***

(3)
Density functional theory data (PBE-GGA) for a geometry-optimized KAs2Au structure.

Lattice parameters (Å, degrees): 5.395 5.395 5.395 130.03 130.03 73.36
Sites, in units of the cell vectors:
K (0.000, 0.000, 0.000)
As (0.250, 0.750, 0.500)
As (0.500, 0.500, 0.000)
Au (0.750, 0.250, 0.500)

## Properties
space-group type	I-4m2 (119)
calculated total energy	-12.79	eV per cell
magnetic moment	0.00	Bohr magnetons per cell
E_form	21.44	kJ per mole of atoms

***

The highest calculated total energy belongs to which entry? KAs2Au